[1]
Here is NbV2HIr after structural relaxation from the Alexandria database. Energies are from GGA-PBE.

a b c (Å): 4.1910 4.1910 3.5509
angles (deg): 90.00 90.00 90.00
Closest atoms and distances in Å follow each position.
Sites, in units of the cell vectors:
H  0.0000  0.0000  0.0000  2 Ir 1.78
Nb  0.5000  0.5000  0.5000  8 V 2.75, 4 Ir 2.96
Ir  0.0000  0.0000  0.5000  2 H 1.78
V  0.0000  0.5000  0.0000  2 H 2.10
V  0.5000  0.0000  0.0000  2 H 2.10

## Properties
E, eV per atom: -8.273
Volume, Å³ per cell: 62
Symmetry: No. 123

[2]
Here is NbVHIr2 after structural relaxation from the Alexandria database. Energies are from GGA-PBE.

a b c (Å): 4.7793 4.6775 4.7793
angles (deg): 90.00 90.00 90.00
Closest atoms and distances in Å follow each position.
Sites, in units of the cell vectors:
H  0.5000  0.5000  0.5000  8 Ir 3.34, 4 V 3.38
Nb  0.0000  0.0000  0.0000  2 V 2.34, 4 Ir 2.39
Ir  0.0000  0.0000  0.5000  2 Nb 2.39
Ir  0.5000  0.0000  0.0000  2 Nb 2.39
V  0.0000  0.5000  0.0000  2 Nb 2.34

## Properties
E, eV per atom: -5.916
Volume, Å³ per cell: 107
Symmetry: No. 123

[3]
Here is NbV2HIr after structural relaxation from the Alexandria database. Energies are from GGA-PBE.

a b c (Å): 3.8355 3.8355 4.2186
angles (deg): 90.00 90.00 90.00
Closest atoms and distances in Å follow each position.
Sites, in units of the cell vectors:
H  0.0000  0.0000  0.0000  4 V 1.92, 2 Nb 2.11
Nb  0.0000  0.0000  0.5000  2 H 2.11
Ir  0.5000  0.5000  0.5000  4 Nb 2.71, 8 V 2.85
V  0.0000  0.5000  0.0000  2 H 1.92
V  0.5000  0.0000  0.0000  2 H 1.92

## Properties
E, eV per atom: -8.311
Volume, Å³ per cell: 62
Symmetry: No. 123

[4]
Here is NbHIr2W after structural relaxation from the Alexandria database. Energies are from GGA-PBE.

a b c (Å): 3.9701 3.9701 4.1005
angles (deg): 90.00 90.00 90.00
Closest atoms and distances in Å follow each position.
Sites, in units of the cell vectors:
H  0.0000  0.0000  0.0000  4 Ir 1.99, 2 W 2.05
Nb  0.5000  0.5000  0.5000  4 W 2.81, 8 Ir 2.85
Ir  0.0000  0.5000  0.0000  2 H 1.99
Ir  0.5000  0.0000  0.0000  2 H 1.99
W  0.0000  0.0000  0.5000  2 H 2.05

## Properties
E, eV per atom: -9.045
Volume, Å³ per cell: 65
Symmetry: No. 123